Record 1
# Ba2NpHgO8

A relaxed structure of Ba2NpHgO8 (PBE, the Alexandria database).

```
Ba2NpHgO8
1.0
4.877 0.000 0.000
0.769 5.337 0.000
0.005 0.002 8.106
Ba Np Hg O
2 1 1 8
direct
0.000 0.000 0.242 Ba
0.000 0.000 0.758 Ba
0.500 0.500 0.000 Np
0.500 0.500 0.500 Hg
0.066 0.616 0.500 O
0.131 0.700 0.000 O
0.435 0.269 0.194 O
0.436 0.269 0.805 O
0.564 0.731 0.195 O
0.565 0.731 0.806 O
0.869 0.300 0.000 O
0.934 0.384 0.500 O
```

## Properties
**Formation energy from raw total energies**: -1827 meV per atom

***

Record 2
# Ba4Np3HgO12

A relaxed structure of Ba4Np3HgO12 (PBE, the Alexandria database).

```
Ba4Np3HgO12
1.0
-4.435 4.435 4.435
4.435 -4.435 4.435
4.435 4.435 -4.435
Ba Np Hg O
4 3 1 12
direct
0.000 0.000 0.500 Ba
0.000 0.500 0.000 Ba
0.500 0.000 0.000 Ba
0.500 0.500 0.500 Ba
0.000 0.500 0.500 Np
0.500 0.000 0.500 Np
0.500 0.500 0.000 Np
0.000 0.000 0.000 Hg
0.000 0.272 0.272 O
0.000 0.728 0.728 O
0.250 0.500 0.750 O
0.250 0.750 0.500 O
0.272 0.000 0.272 O
0.272 0.272 0.000 O
0.500 0.250 0.750 O
0.500 0.750 0.250 O
0.728 0.000 0.728 O
0.728 0.728 0.000 O
0.750 0.250 0.500 O
0.750 0.500 0.250 O
```

## Properties
**Formation energy from raw total energies**: -2696 meV per atom

***

Record 3
# Ba2NpHgS5

A relaxed structure of Ba2NpHgS5 (PBE, the Alexandria database).

```
Ba2NpHgS5
1.0
2.092 -9.139 0.000
2.092 9.139 0.000
0.000 0.000 12.936
Ba Np Hg S
4 2 2 10
direct
0.113 0.887 0.500 Ba
0.129 0.871 0.125 Ba
0.871 0.129 0.625 Ba
0.887 0.113 0.000 Ba
0.207 0.793 0.826 Np
0.793 0.207 0.326 Np
0.458 0.542 0.262 Hg
0.542 0.458 0.762 Hg
0.061 0.939 0.873 S
0.288 0.712 0.461 S
0.304 0.696 0.188 S
0.351 0.649 0.817 S
0.497 0.503 0.584 S
0.503 0.497 0.084 S
0.649 0.351 0.317 S
0.696 0.304 0.688 S
0.712 0.288 0.961 S
0.939 0.061 0.373 S
```

## Properties
**Formation energy from raw total energies**: -1417 meV per atom

***

Record 4
# Ba2Hg2O5

A relaxed structure of Ba2Hg2O5 (PBE, the Alexandria database).

```
Ba2Hg2O5
1.0
7.141 -2.246 0.000
7.141 2.246 0.000
-1.933 0.000 5.524
Ba Hg O
2 2 5
direct
0.121 0.121 0.315 Ba
0.879 0.879 0.685 Ba
0.404 0.404 0.206 Hg
0.596 0.596 0.794 Hg
0.088 0.088 0.795 O
0.320 0.320 0.426 O
0.500 0.500 0.000 O
0.680 0.680 0.574 O
0.912 0.912 0.205 O
```

## Properties
**Formation energy from raw total energies**: -1212 meV per atom

***

| no. | Fermi-level density of states (states/eV per cell) |
| --- | --- |
| 1 | 2.6 |
| 2 | 7.2 |
| 3 | 18.4 |
| 4 | 4.6 |